Compound: Sc2WCl
Source: Alexandria
Functional: PBE-GGA
Structure: relaxed

a = 6.7419 Å, b = 6.7419 Å, c = 6.7419 Å
α = 90.00°, β = 90.00°, γ = 90.00°
Last column: nearest neighbours and their distance in Å.
Space group Fm-3m (No. 225)
One atom of each set of equivalent atoms:
Sc 0.2500 0.2500 0.2500 [8 per cell]  4 Cl 2.92, 4 W 2.92
W 0.0000 0.0000 0.0000 [4 per cell]  8 Sc 2.92
Cl 0.0000 0.0000 0.5000 [4 per cell]  8 Sc 2.92

Volume: 306.4 Å³ per cell
Energy relative to the elements, uncorrected: 0.35 eV/atom
Relative energy among the computed polymorphs: 806 meV per atom